A plane-wave DFT calculation with GGA-PBEsol was carried out for crystalline ReBiB3 at its relaxed geometry.

a = 4.197 Å, b = 4.197 Å, c = 4.197 Å
α = 90.00°, β = 90.00°, γ = 90.00°
Atoms (fractional coordinates):
Re1 0.000 0.000 0.000
Bi1 0.500 0.500 0.500
B1 0.000 0.000 0.500
B2 0.000 0.500 0.000
B3 0.500 0.000 0.000

Calculated volume, Å³ per cell: 73.9
Total DFT energy (no corrections), eV/atom: -6.610